# 1
DFT (PBE-GGA) results for a relaxed Tl4PtRh crystal.

Unit cell a=5.997 b=5.997 c=5.997 alpha=60.00 beta=60.00 gamma=60.00
Atoms (fractional coordinates):
Pt1 0.750 0.750 0.750
Rh1 0.000 0.000 0.000
Tl1 0.375 0.375 0.875
Tl2 0.875 0.375 0.375
Tl3 0.375 0.875 0.375
Tl4 0.375 0.375 0.375

Computed properties:
- ΔE_f: 0.855 eV/atom
- Calculated volume: 152 Å³/f.u.


# 2
DFT (PBE-GGA) results for a relaxed Tl2PtRh crystal.

Unit cell a=5.605 b=5.605 c=4.536 alpha=90.00 beta=90.00 gamma=146.63
Atoms (fractional coordinates):
Tl1 0.401 0.599 0.500
Pt1 0.844 0.156 0.000
Tl2 0.113 0.887 0.000
Rh1 0.666 0.334 0.500

Computed properties:
- ΔE_f: 0.104 eV/atom
- E above lowest polymorph: 0 kJ/mol of formula units
- Calculated volume: 78 Å³/f.u.


# 3
DFT (PBE-GGA) results for a relaxed TlPtRh4 crystal.

Unit cell a=5.186 b=5.186 c=5.186 alpha=60.00 beta=60.00 gamma=60.00
Atoms (fractional coordinates):
Rh1 0.625 0.124 0.625
Rh2 0.625 0.625 0.124
Rh3 0.625 0.625 0.625
Tl1 0.250 0.250 0.250
Pt1 0.000 0.000 0.000
Rh4 0.124 0.625 0.625

Computed properties:
- ΔE_f: 0.358 eV/atom
- Calculated volume: 99 Å³/f.u.


# 4
DFT (PBE-GGA) results for a relaxed TlPt4Rh crystal.

Unit cell a=5.306 b=5.306 c=5.306 alpha=60.00 beta=60.00 gamma=60.00
Atoms (fractional coordinates):
Rh1 0.750 0.750 0.750
Pt1 0.376 0.376 0.873
Pt2 0.376 0.873 0.376
Pt3 0.873 0.376 0.376
Tl1 0.000 0.000 0.000
Pt4 0.376 0.376 0.376

Computed properties:
- ΔE_f: 0.230 eV/atom
- Calculated volume: 106 Å³/f.u.


# 5
DFT (PBE-GGA) results for a relaxed Tl6PtRh crystal.

Unit cell a=5.586 b=7.947 c=7.947 alpha=65.31 beta=76.45 gamma=103.55
Atoms (fractional coordinates):
Tl1 0.449 0.312 0.688
Rh1 0.000 0.000 0.000
Tl2 0.551 0.688 0.312
Pt1 0.500 0.000 0.000
Tl3 0.863 0.000 0.688
Tl4 0.137 0.688 0.000
Tl5 0.863 0.312 0.000
Tl6 0.137 0.000 0.312

Computed properties:
- ΔE_f: 0.160 eV/atom
- Calculated volume: 289 Å³/f.u.


# 6
DFT (PBE-GGA) results for a relaxed Tl2PtRh crystal.

Unit cell a=4.694 b=4.694 c=5.084 alpha=71.66 beta=71.66 gamma=48.65
Atoms (fractional coordinates):
Tl1 0.248 0.248 0.753
Rh1 0.500 0.500 0.000
Pt1 0.000 0.000 0.500
Tl2 0.752 0.752 0.247

Computed properties:
- ΔE_f: 0.139 eV/atom
- E above lowest polymorph: 14 kJ/mol of formula units
- Calculated volume: 79 Å³/f.u.


# 7
DFT (PBE-GGA) results for a relaxed Tl2PtRh crystal.

Unit cell a=5.704 b=5.704 c=5.704 alpha=139.51 beta=139.51 gamma=58.60
Atoms (fractional coordinates):
Tl1 0.000 0.000 0.000
Tl2 0.250 0.750 0.500
Rh1 0.750 0.250 0.500
Pt1 0.500 0.500 0.000

Computed properties:
- ΔE_f: 0.158 eV/atom
- E above lowest polymorph: 21 kJ/mol of formula units
- Calculated volume: 78 Å³/f.u.


# 8
DFT (PBE-GGA) results for a relaxed Tl2PtRh crystal.

Unit cell a=9.667 b=9.667 c=9.667 alpha=18.86 beta=18.86 gamma=18.86
Atoms (fractional coordinates):
Tl1 0.988 0.988 0.988
Rh1 0.246 0.246 0.246
Tl2 0.759 0.759 0.759
Pt1 0.506 0.506 0.506

Computed properties:
- ΔE_f: 0.328 eV/atom
- E above lowest polymorph: 87 kJ/mol of formula units
- Calculated volume: 82 Å³/f.u.


# 9
DFT (PBE-GGA) results for a relaxed TlPtRh2 crystal.

Unit cell a=4.159 b=4.159 c=3.792 alpha=90.00 beta=90.00 gamma=90.00
Atoms (fractional coordinates):
Rh1 0.500 0.000 0.000
Rh2 0.000 0.500 0.000
Pt1 0.000 0.000 0.500
Tl1 0.500 0.500 0.500

Computed properties:
- ΔE_f: 0.077 eV/atom
- E above lowest polymorph: 0 kJ/mol of formula units
- Calculated volume: 66 Å³/f.u.


# 10
DFT (PBE-GGA) results for a relaxed Tl2PtRh2 crystal.

Unit cell a=6.882 b=6.882 c=4.005 alpha=90.00 beta=90.00 gamma=90.00
Atoms (fractional coordinates):
Tl1 0.326 0.174 0.500
Pt1 0.500 0.500 0.000
Tl2 0.174 0.674 0.500
Tl3 0.826 0.326 0.500
Rh1 0.868 0.632 0.000
Rh2 0.132 0.368 0.000
Tl4 0.674 0.826 0.500
Rh3 0.368 0.868 0.000
Pt2 0.000 0.000 0.000
Rh4 0.632 0.132 0.000

Computed properties:
- ΔE_f: 0.116 eV/atom
- Calculated volume: 95 Å³/f.u.


# 11
DFT (PBE-GGA) results for a relaxed TlPtRh2 crystal.

Unit cell a=4.818 b=4.818 c=4.818 alpha=129.04 beta=129.04 gamma=74.95
Atoms (fractional coordinates):
Pt1 0.000 0.000 0.000
Rh1 0.250 0.750 0.500
Rh2 0.750 0.250 0.500
Tl1 0.500 0.500 0.000

Computed properties:
- ΔE_f: 0.087 eV/atom
- E above lowest polymorph: 4 kJ/mol of formula units
- Calculated volume: 66 Å³/f.u.


# 12
DFT (PBE-GGA) results for a relaxed Tl2PtRh crystal.

Unit cell a=4.803 b=4.803 c=4.803 alpha=60.00 beta=60.00 gamma=60.00
Atoms (fractional coordinates):
Pt1 0.500 0.500 0.500
Tl1 0.000 0.000 0.000
Rh1 0.250 0.250 0.250
Tl2 0.750 0.750 0.750

Computed properties:
- ΔE_f: 0.342 eV/atom
- E above lowest polymorph: 92 kJ/mol of formula units
- Calculated volume: 78 Å³/f.u.


# 13
DFT (PBE-GGA) results for a relaxed TlPt2Rh crystal.

Unit cell a=3.420 b=3.420 c=5.852 alpha=90.00 beta=90.00 gamma=90.00
Atoms (fractional coordinates):
Rh1 0.000 0.000 0.480
Pt1 0.000 0.000 0.020
Pt2 0.500 0.500 0.253
Tl1 0.500 0.500 0.747

Computed properties:
- ΔE_f: 0.118 eV/atom
- Calculated volume: 68 Å³/f.u.


# 14
DFT (PBE-GGA) results for a relaxed TlPt2Rh2 crystal.

Unit cell a=3.701 b=3.701 c=7.108 alpha=74.91 beta=74.91 gamma=90.00
Atoms (fractional coordinates):
Rh1 0.250 0.750 0.500
Rh2 0.750 0.250 0.500
Tl1 0.000 0.000 0.000
Pt1 0.399 0.399 0.203
Pt2 0.601 0.601 0.797

Computed properties:
- ΔE_f: 0.290 eV/atom
- E above lowest polymorph: 37 kJ/mol of formula units
- Calculated volume: 91 Å³/f.u.


# 15
DFT (PBE-GGA) results for a relaxed TlPtRh2 crystal.

Unit cell a=4.908 b=4.908 c=4.908 alpha=131.04 beta=131.04 gamma=71.75
Atoms (fractional coordinates):
Rh1 0.750 0.250 0.500
Tl1 0.500 0.500 0.000
Rh2 0.000 0.000 0.000
Pt1 0.250 0.750 0.500

Computed properties:
- ΔE_f: 0.095 eV/atom
- E above lowest polymorph: 7 kJ/mol of formula units
- Calculated volume: 66 Å³/f.u.


# 16
DFT (PBE-GGA) results for a relaxed TlPt2Rh crystal.

Unit cell a=4.861 b=4.861 c=4.861 alpha=129.08 beta=129.08 gamma=74.88
Atoms (fractional coordinates):
Tl1 0.750 0.250 0.500
Pt1 0.000 0.000 0.000
Rh1 0.500 0.500 0.000
Pt2 0.250 0.750 0.500

Computed properties:
- ΔE_f: 0.056 eV/atom
- Calculated volume: 67 Å³/f.u.


# 17
DFT (PBE-GGA) results for a relaxed Tl2PtRh crystal.

Unit cell a=4.751 b=4.751 c=4.751 alpha=60.00 beta=60.00 gamma=60.00
Atoms (fractional coordinates):
Rh1 0.000 0.000 0.000
Pt1 0.500 0.500 0.500
Tl1 0.250 0.250 0.250
Tl2 0.750 0.750 0.750

Computed properties:
- ΔE_f: 0.136 eV/atom
- E above lowest polymorph: 13 kJ/mol of formula units
- Calculated volume: 76 Å³/f.u.


# 18
DFT (PBE-GGA) results for a relaxed Tl2PtRh crystal.

Unit cell a=7.447 b=7.447 c=6.067 alpha=52.14 beta=52.14 gamma=90.00
Atoms (fractional coordinates):
Rh1 0.250 0.750 0.500
Tl1 0.128 0.625 0.250
Tl2 0.622 0.125 0.250
Tl3 0.875 0.872 0.750
Rh2 0.500 0.500 0.000
Tl4 0.375 0.378 0.750
Pt1 0.750 0.250 0.500
Pt2 0.000 0.000 0.000

Computed properties:
- ΔE_f: 0.289 eV/atom
- E above lowest polymorph: 71 kJ/mol of formula units
- Calculated volume: 84 Å³/f.u.


# 19
DFT (PBE-GGA) results for a relaxed TlPtRh2 crystal.

Unit cell a=2.945 b=3.794 c=5.924 alpha=90.00 beta=90.00 gamma=90.00
Atoms (fractional coordinates):
Rh1 0.000 0.000 0.270
Tl1 0.500 0.500 0.000
Rh2 0.000 0.000 0.730
Pt1 0.500 0.500 0.500

Computed properties:
- ΔE_f: 0.133 eV/atom
- E above lowest polymorph: 21 kJ/mol of formula units
- Calculated volume: 66 Å³/f.u.


# 20
DFT (PBE-GGA) results for a relaxed TlPt2Rh2 crystal.

Unit cell a=3.752 b=3.752 c=6.921 alpha=74.27 beta=74.27 gamma=90.00
Atoms (fractional coordinates):
Pt1 0.750 0.250 0.500
Rh1 0.598 0.598 0.804
Rh2 0.402 0.402 0.196
Tl1 0.000 0.000 0.000
Pt2 0.250 0.750 0.500

Computed properties:
- ΔE_f: 0.250 eV/atom
- E above lowest polymorph: 18 kJ/mol of formula units
- Calculated volume: 90 Å³/f.u.


# 21
DFT (PBE-GGA) results for a relaxed Tl2PtRh crystal.

Unit cell a=5.514 b=5.514 c=4.771 alpha=73.72 beta=73.72 gamma=33.67
Atoms (fractional coordinates):
Tl1 0.987 0.987 0.078
Tl2 0.759 0.759 0.679
Pt1 0.509 0.509 0.565
Rh1 0.245 0.245 0.179

Computed properties:
- ΔE_f: 0.118 eV/atom
- E above lowest polymorph: 6 kJ/mol of formula units
- Calculated volume: 77 Å³/f.u.


# 22
DFT (PBE-GGA) results for a relaxed TlPtRh2 crystal.

Unit cell a=4.632 b=2.982 c=4.778 alpha=90.00 beta=90.00 gamma=90.00
Atoms (fractional coordinates):
Pt1 0.500 0.375 0.175
Tl1 0.000 0.375 0.564
Rh1 0.000 0.875 0.065
Rh2 0.500 0.875 0.697

Computed properties:
- ΔE_f: 0.133 eV/atom
- E above lowest polymorph: 21 kJ/mol of formula units
- Calculated volume: 66 Å³/f.u.


# 23
DFT (PBE-GGA) results for a relaxed TlPt2Rh crystal.

Unit cell a=3.882 b=3.882 c=10.105 alpha=78.92 beta=78.92 gamma=90.00
Atoms (fractional coordinates):
Rh1 0.250 0.750 0.500
Rh2 0.500 0.500 0.000
Pt1 0.875 0.859 0.750
Pt2 0.141 0.625 0.250
Tl1 0.750 0.250 0.500
Pt3 0.609 0.125 0.250
Pt4 0.375 0.391 0.750
Tl2 0.000 0.000 0.000

Computed properties:
- ΔE_f: 0.276 eV/atom
- Calculated volume: 73 Å³/f.u.


# 24
DFT (PBE-GGA) results for a relaxed TlPt2Rh crystal.

Unit cell a=4.940 b=4.940 c=4.800 alpha=79.57 beta=79.57 gamma=36.13
Atoms (fractional coordinates):
Pt1 0.753 0.753 0.236
Tl1 0.000 0.000 0.500
Rh1 0.500 0.500 0.000
Pt2 0.247 0.247 0.764

Computed properties:
- ΔE_f: 0.079 eV/atom
- Calculated volume: 68 Å³/f.u.


# 25
DFT (PBE-GGA) results for a relaxed TlPtRh2 crystal.

Unit cell a=2.907 b=4.803 c=4.946 alpha=72.31 beta=90.00 gamma=90.00
Atoms (fractional coordinates):
Rh1 0.500 0.000 0.500
Pt1 0.000 0.500 0.500
Rh2 0.000 0.000 0.000
Tl1 0.500 0.500 0.000

Computed properties:
- ΔE_f: 0.131 eV/atom
- E above lowest polymorph: 21 kJ/mol of formula units
- Calculated volume: 66 Å³/f.u.


# 26
DFT (PBE-GGA) results for a relaxed Tl2PtRh crystal.

Unit cell a=4.461 b=4.461 c=3.818 alpha=90.00 beta=90.00 gamma=90.00
Atoms (fractional coordinates):
Rh1 0.000 0.000 0.500
Pt1 0.500 0.500 0.500
Tl1 0.500 0.000 0.000
Tl2 0.000 0.500 0.000

Computed properties:
- ΔE_f: 0.111 eV/atom
- E above lowest polymorph: 3 kJ/mol of formula units
- Calculated volume: 76 Å³/f.u.


# 27
DFT (PBE-GGA) results for a relaxed TlPtRh2 crystal.

Unit cell a=4.549 b=4.549 c=4.549 alpha=60.00 beta=60.00 gamma=60.00
Atoms (fractional coordinates):
Rh1 0.000 0.000 0.000
Tl1 0.250 0.250 0.250
Rh2 0.750 0.750 0.750
Pt1 0.500 0.500 0.500

Computed properties:
- ΔE_f: 0.215 eV/atom
- E above lowest polymorph: 53 kJ/mol of formula units
- Calculated volume: 67 Å³/f.u.


# 28
DFT (PBE-GGA) results for a relaxed TlPt2Rh crystal.

Unit cell a=4.874 b=4.874 c=4.967 alpha=79.54 beta=79.54 gamma=35.84
Atoms (fractional coordinates):
Pt1 0.001 0.001 0.983
Pt2 0.751 0.751 0.750
Rh1 0.499 0.499 0.512
Tl1 0.248 0.248 0.255

Computed properties:
- ΔE_f: 0.090 eV/atom
- Calculated volume: 68 Å³/f.u.


# 29
DFT (PBE-GGA) results for a relaxed TlPt2Rh crystal.

Unit cell a=4.930 b=4.930 c=2.943 alpha=90.00 beta=90.00 gamma=109.53
Atoms (fractional coordinates):
Rh1 0.000 0.000 0.500
Pt1 0.000 0.500 0.000
Pt2 0.500 0.000 0.000
Tl1 0.500 0.500 0.500

Computed properties:
- ΔE_f: 0.082 eV/atom
- Calculated volume: 67 Å³/f.u.